The following is a DFT calculation (PBE) of a geometry-optimized Co2CuHAu structure.

Cell lengths 4.7883, 4.7883, 4.8269 Å; angles 90.00, 90.00, 90.00 degrees
Positions (direct):
Co: 0.0000 0.5000 0.0000
Co: 0.5000 0.0000 0.0000
Cu: 0.0000 0.0000 0.5000
H: 0.5000 0.5000 0.5000
Au: 0.0000 0.0000 0.0000

Calculated values
D(E_F): 3.259 states/eV/atom
ΔE to the lowest computed polymorph: 1.632 eV/atom
SG: P4/mmm, No. 123

---

The following is a DFT calculation (PBE) of a geometry-optimized Co2CuHAu structure.

Cell lengths 3.6979, 3.6979, 3.9517 Å; angles 90.00, 90.00, 90.00 degrees
Positions (direct):
Co: 0.0000 0.5000 0.0000
Co: 0.5000 0.0000 0.0000
Cu: 0.0000 0.0000 0.5000
H: 0.0000 0.0000 0.0000
Au: 0.5000 0.5000 0.5000

Calculated values
D(E_F): 1.202 states/eV/atom
ΔE to the lowest computed polymorph: 0.000 eV/atom
SG: P4/mmm, No. 123

---

The following is a DFT calculation (PBE) of a geometry-optimized CoCuHg2Au structure.

Cell lengths 4.9656, 4.9656, 4.7974 Å; angles 90.00, 90.00, 90.00 degrees
Positions (direct):
Co: 0.0000 0.0000 0.0000
Cu: 0.5000 0.5000 0.5000
Hg: 0.0000 0.5000 0.0000
Hg: 0.5000 0.0000 0.0000
Au: 0.0000 0.0000 0.5000

Calculated values
ΔE_f: 0.795 eV/atom
D(E_F): 0.808 states/eV/atom
SG: P4/mmm, No. 123

---

The following is a DFT calculation (PBE) of a geometry-optimized La2CoCuAu structure.

Cell lengths 5.1879, 5.1879, 4.5653 Å; angles 90.00, 90.00, 90.00 degrees
Positions (direct):
La: 0.0000 0.5000 0.0000
La: 0.5000 0.0000 0.0000
Co: 0.0000 0.0000 0.0000
Cu: 0.0000 0.0000 0.5000
Au: 0.5000 0.5000 0.5000

Calculated values
ΔE_f: -0.226 eV/atom
D(E_F): 0.654 states/eV/atom
ΔE to the lowest computed polymorph: 0.147 eV/atom
SG: P4/mmm, No. 123

---

The following is a DFT calculation (PBE) of a geometry-optimized La2CoCuAu structure.

Cell lengths 7.2944, 4.5096, 7.7239 Å; angles 90.00, 113.51, 90.00 degrees
Positions (direct):
La: 0.1753 0.2500 0.3665
La: 0.2725 0.2500 0.9286
La: 0.7275 0.7500 0.0714
La: 0.8247 0.7500 0.6335
Co: 0.0525 0.7500 0.0480
Co: 0.9475 0.2500 0.9520
Cu: 0.4104 0.7500 0.2693
Cu: 0.5896 0.2500 0.7307
Au: 0.3577 0.7500 0.6645
Au: 0.6423 0.2500 0.3355

Calculated values
ΔE_f: -0.373 eV/atom
D(E_F): 0.884 states/eV/atom
ΔE to the lowest computed polymorph: 0.000 eV/atom
SG: P2_1/m, No. 11

---

The following is a DFT calculation (PBE) of a geometry-optimized MnCoCuAu structure.

Cell lengths 6.0339, 6.0339, 6.0339 Å; angles 90.00, 90.00, 90.00 degrees
Positions (direct):
Mn: 0.0000 0.0000 0.0000
Mn: 0.0000 0.5000 0.5000
Mn: 0.5000 0.0000 0.5000
Mn: 0.5000 0.5000 0.0000
Co: 0.2500 0.2500 0.7500
Co: 0.2500 0.7500 0.2500
Co: 0.7500 0.2500 0.2500
Co: 0.7500 0.7500 0.7500
Cu: 0.0000 0.0000 0.5000
Cu: 0.0000 0.5000 0.0000
Cu: 0.5000 0.0000 0.0000
Cu: 0.5000 0.5000 0.5000
Au: 0.2500 0.2500 0.2500
Au: 0.2500 0.7500 0.7500
Au: 0.7500 0.2500 0.7500
Au: 0.7500 0.7500 0.2500

Calculated values
ΔE_f: 0.136 eV/atom
D(E_F): 1.171 states/eV/atom
SG: F-43m, No. 216